A plane-wave DFT calculation with PBE was carried out for crystalline RbInHg6 at its relaxed geometry.

Cell: 6.4511 6.4508 6.4531 Å, 102.52 102.52 102.46°
Last column: nearest neighbours and their distance in Å.
Positions (direct):
Rb1 0.5000 0.5000 0.5000  12 Hg 3.65-3.71
In1 0.0000 0.0000 0.0000  6 Hg 3.11
Hg1 0.4542 0.9324 0.2095  3 Hg 3.08-3.15, 1 In 3.11
Hg2 0.0674 0.7904 0.5460  3 Hg 3.08-3.15, 1 In 3.11
Hg3 0.7905 0.5461 0.0676  3 Hg 3.08-3.15, 1 In 3.11
Hg4 0.9326 0.2096 0.4540  3 Hg 3.08-3.15, 1 In 3.11
Hg5 0.5458 0.0676 0.7905  3 Hg 3.08-3.15, 1 In 3.11
Hg6 0.2095 0.4539 0.9324  3 Hg 3.08-3.15, 1 In 3.11

Output
Offset from the most stable computed form in eV per formula unit: 0.15
ΔH_f (0 K) in meV per atom: -89
Crystal system: trigonal

---

A plane-wave DFT calculation with PBE was carried out for crystalline Rb2In5Hg12 at its relaxed geometry.

Cell: 8.3283 8.3283 8.3283 Å, 80.80 80.80 80.80°
Last column: nearest neighbours and their distance in Å.
Positions (direct):
Rb1 0.6623 0.6623 0.6623  12 Hg 3.78-4.04, 4 In 3.99-4.21
Rb2 0.3377 0.3377 0.3377  12 Hg 3.78-4.04, 4 In 3.99-4.21
In1 0.0000 0.0000 0.5000  8 Hg 3.20-3.21, 2 In 3.32
In2 0.0000 0.5000 0.0000  8 Hg 3.20-3.21, 2 In 3.32
In3 0.5000 0.0000 0.0000  8 Hg 3.20-3.21, 2 In 3.32
In4 0.9031 0.9031 0.9031  4 In 3.21-3.32, 9 Hg 3.56-3.59
In5 0.0969 0.0969 0.0969  4 In 3.21-3.32, 9 Hg 3.56-3.59
Hg1 0.2948 0.7052 0.0000  4 Hg 3.18-3.24, 4 In 3.21-3.56
Hg2 0.7052 0.0000 0.2948  4 Hg 3.18-3.24, 4 In 3.21-3.56
Hg3 0.0000 0.2948 0.7052  4 Hg 3.18-3.24, 4 In 3.21-3.56
Hg4 0.7052 0.2948 0.0000  4 Hg 3.18-3.24, 4 In 3.21-3.56
Hg5 0.2948 0.0000 0.7052  4 Hg 3.18-3.24, 4 In 3.21-3.56
Hg6 0.0000 0.7052 0.2948  4 Hg 3.18-3.24, 4 In 3.21-3.56
Hg7 0.3636 0.3636 0.8457  4 Hg 3.11-3.24, 2 In 3.20
Hg8 0.3636 0.8457 0.3636  4 Hg 3.11-3.24, 2 In 3.20
Hg9 0.8457 0.3636 0.3636  4 Hg 3.11-3.24, 2 In 3.20
Hg10 0.6364 0.1543 0.6364  4 Hg 3.11-3.24, 2 In 3.20
Hg11 0.6364 0.6364 0.1543  4 Hg 3.11-3.24, 2 In 3.20
Hg12 0.1543 0.6364 0.6364  4 Hg 3.11-3.24, 2 In 3.20

Output
ΔH_f (0 K) in meV per atom: -83
Crystal system: trigonal

---

A plane-wave DFT calculation with PBE was carried out for crystalline RbIn2Hg3 at its relaxed geometry.

Cell: 7.0522 7.4348 7.4348 Å, 100.67 90.00 90.00°
Last column: nearest neighbours and their distance in Å.
Positions (direct):
Rb1 0.2500 0.3333 0.3333  7 Hg 3.58-3.98
Rb2 0.7500 0.6667 0.6667  7 Hg 3.58-3.98
In1 0.5000 0.7866 0.2134  4 Hg 3.00-3.04
In2 0.0000 0.7866 0.2134  4 Hg 3.00-3.04
In3 0.0000 0.2134 0.7866  4 Hg 3.00-3.04
In4 0.5000 0.2134 0.7866  4 Hg 3.00-3.04
Hg1 0.7500 0.4548 0.1387  2 In 3.00, 1 Hg 3.00
Hg2 0.7500 0.1387 0.4548  2 In 3.00, 1 Hg 3.00
Hg3 0.2500 0.5452 0.8613  2 In 3.00, 1 Hg 3.00
Hg4 0.7500 0.0443 0.0443  2 Hg 3.00, 4 In 3.04
Hg5 0.2500 0.9557 0.9557  2 Hg 3.00, 4 In 3.04
Hg6 0.2500 0.8613 0.5452  2 In 3.00, 1 Hg 3.00

Output
Offset from the most stable computed form in eV per formula unit: 0.08
ΔH_f (0 K) in meV per atom: -115
Crystal system: orthorhombic

---

A plane-wave DFT calculation with PBE was carried out for crystalline RbIn3Hg2 at its relaxed geometry.

Cell: 5.1182 8.3338 10.0528 Å, 115.70 104.75 90.00°
Last column: nearest neighbours and their distance in Å.
Positions (direct):
Rb1 0.1082 0.1510 0.2164  7 Hg 3.61-3.84, 5 In 3.80-3.98, 1 Rb 3.81
Rb2 0.8918 0.8490 0.7836  7 Hg 3.61-3.84, 5 In 3.80-3.98, 1 Rb 3.81
In1 0.6990 0.9344 0.3979  3 In 3.12-3.15, 2 Hg 3.12
In2 0.0843 0.6512 0.1685  3 In 3.11-3.21, 3 Hg 3.16-3.20
In3 0.3565 0.4832 0.7130  4 Hg 2.99-3.13, 3 In 3.15-3.21
In4 0.6435 0.5168 0.2870  4 Hg 2.99-3.13, 3 In 3.15-3.21
In5 0.9157 0.3488 0.8315  3 In 3.11-3.21, 3 Hg 3.16-3.20
In6 0.3010 0.0656 0.6021  3 In 3.12-3.15, 2 Hg 3.12
Hg1 0.5196 0.7693 0.0392  4 In 2.99-3.20
Hg2 0.4804 0.2307 0.9608  4 In 2.99-3.20
Hg3 0.2467 0.6516 0.4934  5 In 3.04-3.16
Hg4 0.7533 0.3484 0.5066  5 In 3.04-3.16

Output
Offset from the most stable computed form in eV per formula unit: 0.00
ΔH_f (0 K) in meV per atom: -107
Crystal system: monoclinic

---

A plane-wave DFT calculation with PBE was carried out for crystalline RbInHg6 at its relaxed geometry.

Cell: 5.0108 5.0108 10.0851 Å, 90.00 90.00 90.00°
Last column: nearest neighbours and their distance in Å.
Positions (direct):
Rb1 0.0000 0.0000 0.0000  16 Hg 3.85-4.11
In1 0.0000 0.0000 0.5000  8 Hg 3.07
Hg1 0.5000 0.0000 0.6765  2 Hg 3.07, 2 In 3.07
Hg2 0.0000 0.5000 0.6765  2 Hg 3.07, 2 In 3.07
Hg3 0.5000 0.5000 0.1484  5 Hg 2.99-3.07
Hg4 0.5000 0.5000 0.8516  5 Hg 2.99-3.07
Hg5 0.0000 0.5000 0.3235  2 Hg 3.07, 2 In 3.07
Hg6 0.5000 0.0000 0.3235  2 Hg 3.07, 2 In 3.07

Output
Offset from the most stable computed form in eV per formula unit: 0.00
ΔH_f (0 K) in meV per atom: -108
Crystal system: tetragonal

---

A plane-wave DFT calculation with PBE was carried out for crystalline Rb4InHg12 at its relaxed geometry.

Cell: 9.0463 9.0463 9.0463 Å, 109.47 109.47 109.47°
Last column: nearest neighbours and their distance in Å.
Positions (direct):
Rb1 0.0000 0.0000 0.5000  12 Hg 3.69-3.74
Rb2 0.5000 0.0000 0.0000  12 Hg 3.69-3.74
Rb3 0.5000 0.5000 0.5000  12 Hg 3.69-3.74
Rb4 0.0000 0.5000 0.0000  12 Hg 3.69-3.74
In1 0.0000 0.0000 0.0000  6 Hg 3.20
Hg1 0.0000 0.3063 0.3063  1 In 3.20, 4 Hg 3.30
Hg2 0.0000 0.6937 0.6937  1 In 3.20, 4 Hg 3.30
Hg3 0.6937 0.6937 0.0000  1 In 3.20, 4 Hg 3.30
Hg4 0.3063 0.3063 0.0000  1 In 3.20, 4 Hg 3.30
Hg5 0.3063 0.0000 0.3063  1 In 3.20, 4 Hg 3.30
Hg6 0.6937 0.0000 0.6937  1 In 3.20, 4 Hg 3.30
Hg7 0.5000 0.2500 0.7500  8 Hg 3.30-3.69, 4 Rb 3.69
Hg8 0.5000 0.7500 0.2500  8 Hg 3.30-3.69, 4 Rb 3.69
Hg9 0.7500 0.2500 0.5000  8 Hg 3.30-3.69, 4 Rb 3.69
Hg10 0.2500 0.7500 0.5000  8 Hg 3.30-3.69, 4 Rb 3.69
Hg11 0.7500 0.5000 0.2500  8 Hg 3.30-3.69, 4 Rb 3.69
Hg12 0.2500 0.5000 0.7500  8 Hg 3.30-3.69, 4 Rb 3.69

Output
ΔH_f (0 K) in meV per atom: -183
Crystal system: cubic

---

A plane-wave DFT calculation with PBE was carried out for crystalline RbInHg3 at its relaxed geometry.

Cell: 3.7957 5.2360 16.0018 Å, 90.00 96.81 90.00°
Last column: nearest neighbours and their distance in Å.
Positions (direct):
Rb1 0.9193 0.7500 0.8386  12 Hg 3.63-3.88, 2 Rb 3.80
Rb2 0.0807 0.2500 0.1614  12 Hg 3.63-3.88, 2 Rb 3.80
In1 0.2187 0.7500 0.4374  3 Hg 3.01-3.33
In2 0.7813 0.2500 0.5626  3 Hg 3.01-3.33
Hg1 0.6327 0.7500 0.2653  3 Hg 3.13-3.39, 2 In 3.33
Hg2 0.3673 0.2500 0.7347  3 Hg 3.13-3.39, 2 In 3.33
Hg3 0.5259 0.7500 0.0517  3 Hg 3.09-3.39
Hg4 0.4741 0.2500 0.9483  3 Hg 3.09-3.39
Hg5 0.6866 0.2500 0.3731  1 In 3.01, 2 Hg 3.13
Hg6 0.3134 0.7500 0.6269  1 In 3.01, 2 Hg 3.13

Output
Offset from the most stable computed form in eV per formula unit: 0.04
ΔH_f (0 K) in meV per atom: -129
Crystal system: orthorhombic

---

A plane-wave DFT calculation with PBE was carried out for crystalline Rb2InHg5 at its relaxed geometry.

Cell: 7.3253 7.3256 7.7454 Å, 118.23 118.22 90.00°
Last column: nearest neighbours and their distance in Å.
Positions (direct):
Rb1 0.2785 0.7785 0.5569  10 Hg 3.83-3.89, 2 In 4.06
Rb2 0.7784 0.2784 0.5567  10 Hg 3.83-3.89, 2 In 4.06
In1 0.9312 0.9311 0.8624  5 Hg 2.89-2.97
Hg1 0.7611 0.2936 0.0545  1 In 2.97, 1 Hg 2.99
Hg2 0.2934 0.2935 0.0545  1 In 2.97, 1 Hg 2.99
Hg3 0.7610 0.7610 0.0546  1 In 2.97, 1 Hg 2.99
Hg4 0.2935 0.7610 0.0545  1 In 2.97, 1 Hg 2.99
Hg5 0.6799 0.6799 0.3598  1 In 2.89, 4 Hg 2.99

Output
Offset from the most stable computed form in eV per formula unit: 0.09
ΔH_f (0 K) in meV per atom: -165
Crystal system: tetragonal

---

A plane-wave DFT calculation with PBE was carried out for crystalline Rb2In3Hg4 at its relaxed geometry.

Cell: 6.7596 9.3951 9.7044 Å, 90.00 110.38 90.00°
Last column: nearest neighbours and their distance in Å.
Positions (direct):
Rb1 0.1109 0.5919 0.2219  8 Hg 3.67-3.92, 6 In 3.86-4.11
Rb2 0.8891 0.4081 0.7781  8 Hg 3.67-3.92, 6 In 3.86-4.11
Rb3 0.3891 0.0919 0.7781  8 Hg 3.67-3.92, 6 In 3.86-4.11
Rb4 0.6109 0.9081 0.2219  8 Hg 3.67-3.92, 6 In 3.86-4.11
In1 0.0000 0.0000 0.0000  6 Hg 3.04-3.34
In2 0.5000 0.5000 0.0000  6 Hg 3.04-3.34
In3 0.5331 0.7500 0.5662  5 Hg 3.01-3.24
In4 0.9669 0.2500 0.4338  5 Hg 3.01-3.24
In5 0.4669 0.2500 0.4338  5 Hg 3.01-3.24
In6 0.0331 0.7500 0.5662  5 Hg 3.01-3.24
Hg1 0.6984 0.7500 0.8968  3 In 3.01-3.04
Hg2 0.8016 0.2500 0.1032  3 In 3.01-3.04
Hg3 0.3016 0.2500 0.1032  3 In 3.01-3.04
Hg4 0.1984 0.7500 0.8968  3 In 3.01-3.04
Hg5 0.1829 0.9705 0.3658  5 In 3.18-3.34
Hg6 0.8171 0.0295 0.6342  5 In 3.18-3.34
Hg7 0.3171 0.4705 0.6342  5 In 3.18-3.34
Hg8 0.6829 0.5295 0.3658  5 In 3.18-3.34

Output
ΔH_f (0 K) in meV per atom: -147
Crystal system: orthorhombic

---

A plane-wave DFT calculation with PBE was carried out for crystalline RbInHg11 at its relaxed geometry.

Cell: 6.4463 8.8569 8.1148 Å, 80.95 66.60 66.67°
Last column: nearest neighbours and their distance in Å.
Positions (direct):
Rb1 0.0000 0.0000 0.0000  16 Hg 3.89-4.13, 2 In 4.32
In1 0.5000 0.5000 0.0000  10 Hg 3.22-3.29
Hg1 0.2775 0.2246 0.2250  6 Hg 3.14-3.49, 1 In 3.26
Hg2 0.7225 0.7754 0.7750  6 Hg 3.14-3.49, 1 In 3.26
Hg3 0.4975 0.7754 0.2250  6 Hg 3.14-3.49, 1 In 3.26
Hg4 0.5025 0.2246 0.7750  6 Hg 3.14-3.49, 1 In 3.26
Hg5 0.3614 0.6502 0.6444  8 Hg 3.26-3.60, 1 In 3.29
Hg6 0.6386 0.3498 0.3556  8 Hg 3.26-3.60, 1 In 3.29
Hg7 0.9942 0.3498 0.6444  8 Hg 3.26-3.60, 1 In 3.29
Hg8 0.0058 0.6502 0.3556  8 Hg 3.26-3.60, 1 In 3.29
Hg9 0.0000 0.5000 0.0000  8 Hg 3.20-3.38, 2 In 3.22
Hg10 0.5000 0.0000 0.5000  10 Hg 3.14-3.46
Hg11 0.0000 0.0000 0.5000  10 Hg 3.14-3.46

Output
ΔH_f (0 K) in meV per atom: -70
Crystal system: monoclinic

---

A plane-wave DFT calculation with PBE was carried out for crystalline Rb2InHg at its relaxed geometry.

Cell: 10.1761 10.1761 8.0101 Å, 50.57 50.57 90.00°
Last column: nearest neighbours and their distance in Å.
Positions (direct):
Hg1 0.0000 0.0000 0.0000  2 In 3.52, 4 Rb 3.52
Hg2 0.7500 0.2500 0.5000  2 In 3.52, 4 Rb 3.52
Rb1 0.6518 0.1250 0.2500  2 Hg 3.52, 2 Rb 3.56, 2 In 3.90
Rb2 0.0982 0.6250 0.2500  2 Hg 3.52, 2 Rb 3.56, 2 In 3.90
Rb3 0.3750 0.3482 0.7500  2 Hg 3.52, 2 Rb 3.56, 2 In 3.90
Rb4 0.8750 0.9018 0.7500  2 Hg 3.52, 2 Rb 3.56, 2 In 3.90
In1 0.5000 0.5000 0.0000  2 Hg 3.52, 4 Rb 3.90
In2 0.2500 0.7500 0.5000  2 Hg 3.52, 4 Rb 3.90

Output
Offset from the most stable computed form in eV per formula unit: 0.75
ΔH_f (0 K) in meV per atom: 67
Crystal system: tetragonal

---

A plane-wave DFT calculation with PBE was carried out for crystalline Rb2InHg10 at its relaxed geometry.

Cell: 6.8509 12.7582 10.9161 Å, 90.00 90.00 90.00°
Last column: nearest neighbours and their distance in Å.
Positions (direct):
Rb1 0.5000 0.4305 0.7440  12 Hg 3.83-4.18
Rb2 0.5000 0.5695 0.2560  12 Hg 3.83-4.18
Rb3 0.5000 0.9305 0.7560  12 Hg 3.83-4.18
Rb4 0.5000 0.0695 0.2440  12 Hg 3.83-4.18
In1 0.0000 0.5000 0.5000  8 Hg 3.08-3.21
In2 0.0000 0.0000 0.0000  8 Hg 3.08-3.21
Hg1 0.0000 0.1224 0.4548  7 Hg 3.08-3.35
Hg2 0.0000 0.8776 0.5452  7 Hg 3.08-3.35
Hg3 0.0000 0.6224 0.0452  7 Hg 3.08-3.35
Hg4 0.0000 0.3776 0.9548  7 Hg 3.08-3.35
Hg5 0.0000 0.3009 0.6805  5 Hg 3.08-3.36, 1 In 3.21
Hg6 0.0000 0.6991 0.3195  5 Hg 3.08-3.36, 1 In 3.21
Hg7 0.2844 0.1860 0.9301  2 Hg 2.95-3.14, 1 In 3.16
Hg8 0.2844 0.8140 0.0699  2 Hg 2.95-3.14, 1 In 3.16
Hg9 0.7156 0.6860 0.5699  2 Hg 2.95-3.14, 1 In 3.16
Hg10 0.7156 0.3140 0.4301  2 Hg 2.95-3.14, 1 In 3.16
Hg11 0.7156 0.8140 0.0699  2 Hg 2.95-3.14, 1 In 3.16
Hg12 0.7156 0.1860 0.9301  2 Hg 2.95-3.14, 1 In 3.16
Hg13 0.2844 0.3140 0.4301  2 Hg 2.95-3.14, 1 In 3.16
Hg14 0.2844 0.6860 0.5699  2 Hg 2.95-3.14, 1 In 3.16
Hg15 0.0000 0.9369 0.2719  1 In 3.08, 5 Hg 3.08-3.33
Hg16 0.0000 0.0631 0.7281  1 In 3.08, 5 Hg 3.08-3.33
Hg17 0.0000 0.4369 0.2281  1 In 3.08, 5 Hg 3.08-3.33
Hg18 0.0000 0.5631 0.7719  1 In 3.08, 5 Hg 3.08-3.33
Hg19 0.0000 0.1991 0.1805  5 Hg 3.08-3.36, 1 In 3.21
Hg20 0.0000 0.8009 0.8195  5 Hg 3.08-3.36, 1 In 3.21

Output
ΔH_f (0 K) in meV per atom: -95
Crystal system: orthorhombic